Entry 1:
Material: CsAc2MgTe4
Method: DFT, GGA-PBE
State: optimized geometry

Values from the calculation:
Crystal system: orthorhombic
Formation energy without anion corrections: -1312 meV/atom

abc: 8.7165 8.7165 16.6628
angles: 90.00 90.00 148.70
Fractional coordinates of all 16 atoms:
Cs1 0.1078 0.8922 0.7500
Cs2 0.8922 0.1078 0.2500
Ac1 0.3716 0.6284 0.5523
Ac2 0.3716 0.6284 0.9477
Ac3 0.6284 0.3716 0.0523
Ac4 0.6284 0.3716 0.4477
Mg1 0.1674 0.8326 0.2500
Mg2 0.8326 0.1674 0.7500
Te1 0.0000 0.0000 0.0000
Te2 0.0000 0.0000 0.5000
Te3 0.2635 0.7365 0.1138
Te4 0.2635 0.7365 0.3862
Te5 0.4262 0.5738 0.7500
Te6 0.5738 0.4262 0.2500
Te7 0.7365 0.2635 0.6138
Te8 0.7365 0.2635 0.8862

Entry 2:
Material: KMn3
Method: DFT, GGA-PBE
State: optimized geometry

Values from the calculation:
Crystal system: trigonal
Energy above the most stable polymorph in this dataset: 204 kJ/mol of formula units
E_form: 1234 meV per atom

abc: 5.8354 5.8354 5.8354
angles: 117.53 117.53 117.53
Fractional coordinates of all 4 atoms:
K1 0.0000 0.0000 0.0000
Mn1 0.0000 0.5000 0.5000
Mn2 0.5000 0.0000 0.5000
Mn3 0.5000 0.5000 0.0000

Entry 3:
Material: Hf8SbC2
Method: DFT, GGA-PBE
State: optimized geometry

Values from the calculation:
Crystal system: monoclinic
Formation energy without anion corrections: 92 meV/atom

abc: 7.1163 7.1163 5.9286
angles: 98.33 98.33 52.24
Fractional coordinates of all 11 atoms:
Hf1 0.1379 0.1379 0.7083
Hf2 0.1439 0.6686 0.8039
Hf3 0.3057 0.3057 0.1968
Hf4 0.3314 0.8561 0.1961
Hf5 0.6686 0.1439 0.8039
Hf6 0.6943 0.6943 0.8032
Hf7 0.8561 0.3314 0.1961
Hf8 0.8621 0.8621 0.2917
Sb1 0.5000 0.5000 0.5000
C1 0.3014 0.3014 0.8369
C2 0.6986 0.6986 0.1631

Entry 4:
Material: ZrCdPt
Method: DFT, GGA-PBE
State: optimized geometry

Values from the calculation:
Crystal system: cubic
E_form: -489 meV per atom

abc: 4.5604 4.5604 4.5604
angles: 60.00 60.00 60.00
Fractional coordinates of all 3 atoms:
Zr1 0.0000 0.0000 0.0000
Cd1 0.5000 0.5000 0.5000
Pt1 0.2500 0.2500 0.2500

Entry 5:
Material: Ho4Ni2Ag5
Method: DFT, GGA-PBE
State: optimized geometry

Values from the calculation:
Crystal system: monoclinic
E_form: -329 meV per atom

abc: 7.2566 3.6205 8.9562
angles: 90.00 96.20 90.00
Fractional coordinates of all 11 atoms:
Ho1 0.1875 0.0000 0.3511
Ho2 0.2257 0.0000 0.9347
Ho3 0.7743 0.0000 0.0653
Ho4 0.8125 0.0000 0.6489
Ni1 0.0687 0.5000 0.1335
Ni2 0.9313 0.5000 0.8665
Ag1 0.1629 0.5000 0.6414
Ag2 0.4550 0.5000 0.1753
Ag3 0.5000 0.5000 0.5000
Ag4 0.5450 0.5000 0.8247
Ag5 0.8371 0.5000 0.3586

Entry 6:
Material: ScTl2Bi2
Method: DFT, GGA-PBE
State: optimized geometry

Values from the calculation:
Crystal system: tetragonal
Energy above the most stable polymorph in this dataset: 71 kJ/mol of formula units
E_form: 82 meV per atom

abc: 7.9132 7.9132 4.8100
angles: 90.00 90.00 90.00
Fractional coordinates of all 10 atoms:
Sc1 0.0000 0.0000 0.0000
Sc2 0.5000 0.5000 0.0000
Tl1 0.1493 0.3507 0.0000
Tl2 0.3507 0.8507 0.0000
Tl3 0.6493 0.1493 0.0000
Tl4 0.8507 0.6493 0.0000
Bi1 0.1499 0.6499 0.5000
Bi2 0.3501 0.1499 0.5000
Bi3 0.6499 0.8501 0.5000
Bi4 0.8501 0.3501 0.5000

Please write out number 2 again, unchanged.
Material: KMn3
Method: DFT, GGA-PBE
State: optimized geometry

Values from the calculation:
Crystal system: trigonal
Energy above the most stable polymorph in this dataset: 204 kJ/mol of formula units
E_form: 1234 meV per atom

abc: 5.8354 5.8354 5.8354
angles: 117.53 117.53 117.53
Fractional coordinates of all 4 atoms:
K1 0.0000 0.0000 0.0000
Mn1 0.0000 0.5000 0.5000
Mn2 0.5000 0.0000 0.5000
Mn3 0.5000 0.5000 0.0000